Record 1
Sr7Hg2Au2: optimized geometry, PBE.

The formation energy from the elements comes out at -0.50 eV/atom. The value obtained for the total moment is 0.000 μB/cell.

The space group is Imm2 (No. 44) and the conventional cell measures 4.394, 17.554 and 10.689 Å, with angles of 90.00, 90.00 and 90.00 degrees. Symmetry generates all atoms from Sr at (0.000, 0.000, 0.000), Sr at (0.000, 0.116, 0.409), Sr at (0.000, 0.313, 0.613), Sr at (0.000, 0.360, 0.248), Hg at (0.000, 0.000, 0.671), Hg at (0.000, 0.500, 0.740) and Au at (0.000, 0.243, 0.906).



Record 2
SrSiP2S8: optimized geometry, PBE.

For the formation energy from raw total energies, the calculation gives -0.53 eV per atom. The value obtained for the total moment is 0.000 μB/cell.

The space group is P-3 (No. 147) and the conventional cell measures 5.8587, 5.8587 and 8.5760 Å, with angles of 90.00, 90.00 and 120.00 degrees. Symmetry generates all atoms from Sr at (0.0000, 0.0000, 0.0000), Si at (0.0000, 0.0000, 0.5000), P at (0.3333, 0.6667, 0.7313), S at (0.0023, 0.6918, 0.3286) and S at (0.3333, 0.6667, 0.9644).



Record 3
ZrBe2TlO: optimized geometry, PBE.

For the formation energy from raw total energies, the calculation gives -0.34 eV per atom. The value obtained for the total moment is 0.000 μB/cell.

The space group is P4/mmm (No. 123) and the conventional cell measures 4.109, 4.109 and 4.306 Å, with angles of 90.00, 90.00 and 90.00 degrees. Symmetry generates all atoms from Zr at (0.000, 0.000, 0.000), Be at (0.000, 0.500, 0.500), Tl at (0.500, 0.500, 0.000) and O at (0.000, 0.000, 0.500).



Record 4
ZrScP2: optimized geometry, PBE.

The formation energy from the elements comes out at -0.16 eV/atom. The value obtained for the total moment is 1.399 μB/cell.

The space group is F-43m (No. 216) and the conventional cell measures 6.494, 6.494 and 6.494 Å, with angles of 90.00, 90.00 and 90.00 degrees. Symmetry generates all atoms from Zr at (0.000, 0.000, 0.000), Sc at (0.250, 0.250, 0.250), P at (0.000, 0.000, 0.500) and P at (0.250, 0.250, 0.750).



Result set for final energy: -2.23 -4.78 -5.01 -6.58 eV per atom, one per record in the order listed.